MnPI2O: optimized geometry, PBE with a Hubbard U.

Distance to the lowest polymorph of the same formula   0.000 eV/atom
Spin magnetization   5.39 Bohr magnetons per cell

a b c (Å): 5.7659 5.7659 3.6020
angles (deg): 90.00 90.00 90.00
With the nearest neighbours (Å) after each atom.
Space group P4/mmm (No. 123)
Asymmetric unit:
Mn (0.0000, 0.0000, 0.0000) x1  8 I 3.40, 2 Mn 3.60
P (0.5000, 0.5000, 0.5000) x1  2 O 1.80
I (0.0000, 0.5000, 0.5000) x2  2 P 2.88
O (0.5000, 0.5000, 0.0000) x1  2 P 1.80



PaMnIO6: optimized geometry, PBE with a Hubbard U.

DFT total energy   -7.103 eV/atom
Spin magnetization   10.00 Bohr magnetons per cell

a b c (Å): 5.6976 5.6976 9.1748
angles (deg): 90.00 90.00 120.00
With the nearest neighbours (Å) after each atom.
Space group P-31c (No. 163)
Asymmetric unit:
Pa (0.3333, 0.6667, 0.2500) x2  6 O 2.20
Mn (0.0000, 0.0000, 0.0000) x2  6 O 2.30
I (0.3333, 0.6667, 0.7500) x2  6 O 2.13
O (0.0094, 0.3484, 0.6321) x12  1 I 2.13, 1 Pa 2.20, 1 Mn 2.30



Mn2PbIO8: optimized geometry, PBE with a Hubbard U.

DFT total energy   -5.903 eV/atom
Spin magnetization   17.95 Bohr magnetons per cell

a b c (Å): 6.5698 7.1387 6.5005
angles (deg): 90.00 90.00 90.00
With the nearest neighbours (Å) after each atom.
Space group Cmmm (No. 65)
Asymmetric unit:
Mn (0.0000, 0.0000, 0.2454) x4  6 O 2.03-2.26
Pb (0.0000, 0.5000, 0.5000) x2  6 O 2.10-2.28
I (0.0000, 0.5000, 0.0000) x2  6 O 1.92-1.93
O (0.0000, 0.3148, 0.2135) x8  1 I 1.92
O (0.1802, 0.0000, 0.5000) x4  2 Mn 2.03, 1 Pb 2.10
O (0.2055, 0.0000, 0.0000) x4  1 I 1.93, 2 Mn 2.09



- The highest spin magnetization belongs to which entry?
  Mn2PbIO8



- What is the formula in the third record?
  Mn2PbIO8



- Which of these has the lowest spin magnetization?
  MnPI2O